1.
Here is ZnTcW2 after structural relaxation from Alexandria. Energies are from PBE.

Cell and atoms, written as POSCAR:
```
ZnTcW2
1.0
2.718 -0.008 0.000
-0.880 2.571 0.000
0.000 0.000 8.863
Zn W Tc
1 2 1
Direct
0.000 0.000 0.504
0.000 0.000 0.996
0.500 0.500 0.250
0.500 0.500 0.751
```

Output
* calculated volume: 61.9 Å³ per cell
* formation energy from the elements: 144 meV per atom



2.
Here is ZnTcW2 after structural relaxation from Alexandria. Energies are from PBE.

Cell and atoms, written as POSCAR:
```
ZnTcW2
1.0
2.710 0.015 0.000
-0.887 2.561 0.000
0.000 0.000 8.896
W Tc Zn
2 1 1
Direct
0.000 0.000 0.997
0.000 0.000 0.503
0.500 0.500 0.750
0.500 0.500 0.250
```

Output
* calculated volume: 61.9 Å³ per cell
* formation energy from the elements: 224 meV per atom



3.
Here is Zn2TcW after structural relaxation from Alexandria. Energies are from PBE.

Cell and atoms, written as POSCAR:
```
Zn2TcW
1.0
9.138 -0.006 -0.004
8.719 2.736 -0.004
8.719 1.333 2.390
Tc W Zn
1 1 2
Direct
0.250 0.250 0.250
0.750 0.750 0.750
0.502 0.502 0.502
0.998 0.998 0.998
```

Output
* calculated volume: 60.0 Å³ per cell
* formation energy from the elements: 292 meV per atom
* energy relative to the lowest polymorph listed for this composition: 4.495 kcal/mol of atoms